Record 1
# ScTa2Mo (PBE-GGA, optimized geometry)
data_ScTa2Mo
_chemical_formula_sum 'Sc1 Ta2 Mo1'
_space_group_name_H-M_alt 'P 1 2/m 1'
_space_group_IT_number 10
_cell_length_a 2.9038
_cell_length_b 4.6414
_cell_length_c 5.5754
_cell_angle_alpha 90.00
_cell_angle_beta 101.56
_cell_angle_gamma 90.00
loop_
_space_group_symop_operation_xyz
'x,y,z'
'-x,-y,-z'
'-x,y,-z'
'x,-y,z'
loop_
_atom_site_label
_atom_site_fract_x
_atom_site_fract_y
_atom_site_fract_z
Sc1 0.0000 0.0000 0.0000
Ta1 0.3030 0.5000 0.7331
Mo1 0.5000 0.0000 0.5000
# Energy above the lowest structure with this stoichiometry ... 0.09 eV per formula unit
# ΔE_f ... 0.31 eV per formula unit
# Total magnetization ... 0.000 μB/atom

=====

Record 2
# Pr4YTm3Se8 (PBE-GGA, optimized geometry)
data_Pr4YTm3Se8
_chemical_formula_sum 'Pr12 Y3 Tm9 Se24'
_space_group_name_H-M_alt 'R -3 m'
_space_group_IT_number 166
_space_group_name_Hall '-R 3 2"'
_cell_length_a 8.1520
_cell_length_b 8.1520
_cell_length_c 21.1127
_cell_angle_alpha 90.00
_cell_angle_beta 90.00
_cell_angle_gamma 120.00
loop_
_atom_site_label
_atom_site_fract_x
_atom_site_fract_y
_atom_site_fract_z
Pr1 0.0000 0.0000 0.0000
Pr2 0.0000 0.5000 0.0000
Y1 0.0000 0.0000 0.5000
Tm1 0.0000 0.5000 0.5000
Se1 0.0000 0.0000 0.2419
Se2 0.0033 0.5017 0.7574
# Uncorrected formation energy ... -1.776 eV per atom
# Total magnetization ... 0.000 μB/atom

=====

Record 3
# AlAgW4 (PBE-GGA, optimized geometry)
data_AlAgW4
_chemical_formula_sum 'Al4 Ag4 W16'
_space_group_name_H-M_alt 'F -4 3 m'
_space_group_IT_number 216
_space_group_name_Hall 'F -4 2 3'
_cell_length_a 7.5035
_cell_length_b 7.5035
_cell_length_c 7.5035
_cell_angle_alpha 90.00
_cell_angle_beta 90.00
_cell_angle_gamma 90.00
loop_
_atom_site_label
_atom_site_fract_x
_atom_site_fract_y
_atom_site_fract_z
Al1 0.0000 0.0000 0.0000
Ag1 0.2500 0.2500 0.7500
W1 0.1247 0.1247 0.3753
# ΔE_f ... 4.04 eV per formula unit
# Total magnetization ... 0.000 μB/atom

=====

Record 4
# Mg2Be2Au (PBE-GGA, optimized geometry)
data_Mg2Be2Au
_chemical_formula_sum 'Mg4 Be4 Au2'
_space_group_name_H-M_alt 'P 4/m b m'
_space_group_IT_number 127
_space_group_name_Hall '-P 4 2ab'
_cell_length_a 6.1606
_cell_length_b 6.1606
_cell_length_c 3.9911
_cell_angle_alpha 90.00
_cell_angle_beta 90.00
_cell_angle_gamma 90.00
loop_
_atom_site_label
_atom_site_fract_x
_atom_site_fract_y
_atom_site_fract_z
Mg1 0.1728 0.3272 0.0000
Be1 0.1246 0.6246 0.5000
Au1 0.0000 0.0000 0.5000
# ΔE_f ... -0.24 eV per formula unit
# Total magnetization ... 0.000 μB/atom

=====

Record 5
# CaNbTcO6 (PBE-GGA, optimized geometry)
data_CaNbTcO6
_chemical_formula_sum 'Ca2 Nb2 Tc2 O12'
_space_group_name_H-M_alt 'P 42 n m'
_space_group_IT_number 102
_cell_length_a 4.8967
_cell_length_b 4.8967
_cell_length_c 9.5857
_cell_angle_alpha 90.00
_cell_angle_beta 90.00
_cell_angle_gamma 90.00
loop_
_space_group_symop_operation_xyz
'x,y,z'
'-y+1/2,x+1/2,z+1/2'
'-x,-y,z'
'y+1/2,-x+1/2,z+1/2'
'-x+1/2,y+1/2,z+1/2'
'y,x,z'
'x+1/2,-y+1/2,z+1/2'
'-y,-x,z'
loop_
_atom_site_label
_atom_site_fract_x
_atom_site_fract_y
_atom_site_fract_z
Ca1 0.0000 0.0000 0.0000
Nb1 0.0000 0.0000 0.3350
Tc1 0.0000 0.0000 0.6714
O1 0.1745 0.1745 0.5070
O2 0.2122 0.2122 0.8103
O3 0.2184 0.2184 0.1933
# Uncorrected formation energy ... -2.181 eV per atom
# Total magnetization ... 0.220 μB/atom

=====

Record 6
# SrCa2ErS4 (PBE-GGA, optimized geometry)
data_SrCa2ErS4
_chemical_formula_sum 'Sr1 Ca2 Er1 S4'
_space_group_name_H-M_alt 'P 1 2/m 1'
_space_group_IT_number 10
_cell_length_a 6.9842
_cell_length_b 4.0323
_cell_length_c 7.0371
_cell_angle_alpha 90.00
_cell_angle_beta 109.30
_cell_angle_gamma 90.00
loop_
_space_group_symop_operation_xyz
'x,y,z'
'-x,-y,-z'
'-x,y,-z'
'x,-y,z'
loop_
_atom_site_label
_atom_site_fract_x
_atom_site_fract_y
_atom_site_fract_z
Sr1 0.0000 0.0000 0.0000
Ca1 0.5000 0.0000 0.5000
Ca2 0.5000 0.5000 0.0000
Er1 0.0000 0.5000 0.5000
S1 0.2453 0.0000 0.7361
S2 0.2538 0.5000 0.2655
# Uncorrected formation energy ... -2.064 eV per atom
# Total magnetization ... 0.000 μB/atom